# 1
Here is a relaxed CaPr14Th crystal from Alexandria via LeMat-Bulk. Energies are from PBE-GGA.

Results
Formation energy from the elements: 0.027 eV/atom
D(E_F): 21.0 states/eV/cell
M_tot: 0.000 μB per formula unit
Raw total energy: -4.7436 eV/atom

POSCAR file:
```
CaPr14Th
1.0
7.3502 0.9860 0.0000
-0.9863 7.3502 0.0000
0.0000 0.0000 10.5077
Pr Ca Th
14 1 1
Direct
0.8747 0.6251 0.0000 Pr
0.3754 0.6246 0.5000 Pr
0.6312 0.3688 0.7504 Pr
0.8748 0.1252 0.5000 Pr
0.3749 0.1253 0.0000 Pr
0.6311 0.8810 0.7503 Pr
0.1190 0.3689 0.2497 Pr
0.8753 0.6251 0.5000 Pr
0.1190 0.3689 0.7503 Pr
0.1188 0.8812 0.7502 Pr
0.6311 0.8810 0.2497 Pr
0.3749 0.1247 0.5000 Pr
0.6312 0.3688 0.2496 Pr
0.1188 0.8812 0.2498 Pr
0.3747 0.6253 0.0000 Ca
0.8751 0.1249 0.0000 Th
```



# 2
Here is a relaxed Ac3AlBr3 crystal from Alexandria via LeMat-Bulk. Energies are from PBE-GGA.

Results
D(E_F): 13.9 states/eV/cell
M_tot: 0.000 μB per formula unit
Raw total energy: -4.2217 eV/atom
Raw formation energy: -1.21 eV per atom

POSCAR file:
```
Ac3AlBr3
1.0
10.5857 0.0000 -3.7426
-5.2928 9.1675 -3.7426
0.0000 0.0000 11.2278
Br Ac Al
12 12 4
Direct
0.0028 0.2500 0.9972 Br
0.2472 0.9972 0.9945 Br
0.0028 0.7528 0.5055 Br
0.2528 0.7472 0.2500 Br
0.4972 0.5028 0.2500 Br
0.2472 0.2500 0.7528 Br
0.7500 0.7528 0.7472 Br
0.4972 0.9945 0.7472 Br
0.4945 0.7472 0.9972 Br
0.7500 0.9972 0.5028 Br
0.2528 0.5055 0.5028 Br
0.0055 0.5028 0.7528 Br
0.7434 0.4869 0.4934 Ac
0.5066 0.4934 0.7500 Ac
0.9934 0.7500 0.0066 Ac
0.9869 0.4934 0.2434 Ac
0.7566 0.7500 0.2434 Ac
0.7566 0.0066 0.0131 Ac
0.9934 0.2434 0.4869 Ac
0.5066 0.0131 0.2566 Ac
0.2500 0.0066 0.4934 Ac
0.2500 0.2434 0.2566 Ac
0.7434 0.2566 0.7500 Ac
0.5131 0.2566 0.0066 Ac
0.0000 0.0000 0.2500 Al
0.7500 0.2500 0.2500 Al
0.5000 0.2500 0.5000 Al
0.7500 0.5000 0.0000 Al
```



# 3
Here is a relaxed AuSCl3 crystal from Alexandria via LeMat-Bulk. Energies are from PBE-GGA.

Results
D(E_F): 1.5 states/eV/cell
M_tot: 0.000 μB per formula unit
Raw total energy: -2.1741 eV/atom
Energy above the lowest structure with this stoichiometry: 609 meV per atom
Raw formation energy: 0.41 eV per atom

POSCAR file:
```
AuSCl3
1.0
-4.7654 0.5144 0.7642
0.4407 -2.2629 4.2711
0.8089 4.2629 2.1751
Au Cl S
1 3 1
Direct
0.5000 0.5000 0.5000 Au
0.5000 0.0000 0.0000 Cl
0.0000 0.5000 0.0000 Cl
0.0000 0.0000 0.5000 Cl
0.0000 0.0000 0.0000 S
```



# 4
Here is a relaxed PmTiBi3 crystal from Alexandria via LeMat-Bulk. Energies are from PBE-GGA.

Results
Formation energy from the elements: -0.469 eV/atom
D(E_F): 11.5 states/eV/cell
M_tot: 0.000 μB per formula unit
Raw total energy: -5.3272 eV/atom

POSCAR file:
```
PmTiBi3
1.0
6.3716 0.0000 0.0000
0.0000 6.6062 0.0000
0.0000 0.0000 13.4672
Ti Bi Pm
4 12 4
Direct
0.0000 0.7500 0.9056 Ti
0.5000 0.7500 0.9056 Ti
0.0000 0.2500 0.0944 Ti
0.5000 0.2500 0.0944 Ti
0.2500 0.1060 0.9301 Bi
0.7500 0.8940 0.0699 Bi
0.2500 0.0088 0.2330 Bi
0.5000 0.7500 0.5029 Bi
0.0000 0.7500 0.5029 Bi
0.0000 0.2500 0.4971 Bi
0.2500 0.5088 0.7670 Bi
0.2500 0.6060 0.0699 Bi
0.5000 0.2500 0.4971 Bi
0.7500 0.9912 0.7670 Bi
0.7500 0.4912 0.2330 Bi
0.7500 0.3940 0.9301 Bi
0.7500 0.4913 0.6874 Pm
0.2500 0.0087 0.6874 Pm
0.2500 0.5087 0.3126 Pm
0.7500 0.9913 0.3126 Pm
```



# 5
Here is a relaxed Sr5ErBi4 crystal from Alexandria via LeMat-Bulk. Energies are from PBE-GGA.

Results
Formation energy from the elements: -0.734 eV/atom
D(E_F): 2.1 states/eV/cell
M_tot: 0.929 μB per formula unit
Raw total energy: -3.5838 eV/atom

POSCAR file:
```
Sr5ErBi4
1.0
-2.0889 0.2662 4.5072
6.5984 -4.4948 3.3236
-2.3941 13.7970 -4.6699
Sr Bi Er
5 4 1
Direct
0.1540 0.2714 0.3080 Sr
0.1719 0.8171 0.3438 Sr
0.8281 0.1829 0.6562 Sr
0.5000 0.5000 0.0000 Sr
0.8460 0.7286 0.6920 Sr
0.3038 0.8746 0.6076 Bi
0.6962 0.1254 0.3924 Bi
0.0218 0.2784 0.0436 Bi
0.9782 0.7216 0.9564 Bi
0.5000 0.0000 0.0000 Er
```



# 6
Here is a relaxed MnNiAg2Rh crystal from Alexandria via LeMat-Bulk. Energies are from PBE-GGA.

Results
Formation energy from the elements: 1.284 eV/atom
D(E_F): 6.8 states/eV/cell
M_tot: 4.483 μB per formula unit
Raw total energy: -4.3167 eV/atom

POSCAR file:
```
MnNiAg2Rh
1.0
-1.0248 -1.4698 4.4771
2.3096 -3.6931 -0.6838
3.9779 2.1863 1.6283
Mn Ag Rh Ni
1 2 1 1
Direct
0.0000 0.0000 0.0000 Mn
0.5000 0.0000 0.0000 Ag
0.0000 0.0000 0.5000 Ag
0.0000 0.5000 0.0000 Rh
0.5000 0.5000 0.5000 Ni
```



# 7
Here is a relaxed TlOs2 crystal from Alexandria via LeMat-Bulk. Energies are from PBE-GGA.

Results
Formation energy from the elements: 0.613 eV/atom
D(E_F): 2.8 states/eV/cell
M_tot: 0.000 μB per formula unit
Raw total energy: -7.6625 eV/atom
Energy above the lowest structure with this stoichiometry: 41 meV per atom

POSCAR file:
```
TlOs2
1.0
-2.4786 1.4707 -0.4540
-0.4768 0.0726 2.8386
6.4376 11.0956 0.7975
Tl Os
2 4
Direct
0.5000 0.5000 0.5000 Tl
0.0000 0.0000 0.0000 Tl
0.7824 0.5000 0.8115 Os
0.7176 0.0000 0.3115 Os
0.2176 0.5000 0.1885 Os
0.2824 0.0000 0.6885 Os
```



# 8
Here is a relaxed Ba2TlFe crystal from Alexandria via LeMat-Bulk. Energies are from PBE-GGA.

Results
Formation energy from the elements: 0.385 eV/atom
D(E_F): 15.9 states/eV/cell
M_tot: 0.002 μB per formula unit
Raw total energy: -3.2834 eV/atom

POSCAR file:
```
Ba2TlFe
1.0
11.3350 0.0000 0.0000
0.0000 11.3350 0.0000
5.6675 5.6675 2.5769
Ba Fe Tl
4 2 2
Direct
0.8750 0.6932 0.7500 Ba
0.3750 0.5568 0.7500 Ba
0.3068 0.6250 0.2500 Ba
0.4432 0.1250 0.2500 Ba
0.5000 0.5000 0.0000 Fe
0.2500 0.7500 0.5000 Fe
0.7500 0.2500 0.5000 Tl
0.0000 0.0000 0.0000 Tl
```



# 9
Here is a relaxed La2Tm4Sc crystal from Alexandria via LeMat-Bulk. Energies are from PBE-GGA.

Results
Formation energy from the elements: 0.181 eV/atom
D(E_F): 22.0 states/eV/cell
M_tot: 0.000 μB per formula unit
Raw total energy: -4.6860 eV/atom
Energy above the lowest structure with this stoichiometry: 0 meV per atom

POSCAR file:
```
La2Tm4Sc
1.0
-3.0708 5.1135 3.1377
0.0945 -0.5148 -6.7193
-6.9601 -10.7671 3.9129
La Tm Sc
4 8 2
Direct
0.4564 0.5436 0.7500 La
0.7554 0.2446 0.7500 La
0.2446 0.7554 0.2500 La
0.5436 0.4564 0.2500 La
0.8154 0.7843 0.0499 Tm
0.2310 0.7314 0.5003 Tm
0.7314 0.2310 0.0003 Tm
0.7690 0.2686 0.4997 Tm
0.2686 0.7690 0.9997 Tm
0.7843 0.8154 0.5499 Tm
0.2157 0.1846 0.4501 Tm
0.1846 0.2157 0.9501 Tm
0.8358 0.1642 0.2500 Sc
0.1642 0.8358 0.7500 Sc
```



# 10
Here is a relaxed Rb2Cd4Sn3Au crystal from Alexandria via LeMat-Bulk. Energies are from PBE-GGA.

Results
Formation energy from the elements: -0.139 eV/atom
D(E_F): 5.6 states/eV/cell
M_tot: 0.000 μB per formula unit
Raw total energy: -2.2275 eV/atom

POSCAR file:
```
Rb2Cd4Sn3Au
1.0
-1.3828 4.6666 0.8149
-4.4323 -0.9748 -1.9387
-4.1792 -3.1868 11.1572
Cd Rb Sn Au
4 2 3 1
Direct
0.5000 0.5000 0.0000 Cd
0.0000 0.0000 0.0000 Cd
0.5000 0.0000 0.6287 Cd
0.0000 0.5000 0.3713 Cd
0.0000 0.5000 0.7450 Rb
0.5000 0.0000 0.2550 Rb
0.5000 0.0000 0.8653 Sn
0.0000 0.5000 0.1347 Sn
0.0000 0.0000 0.5000 Sn
0.5000 0.5000 0.5000 Au
```



# 11
Here is a relaxed AsOsRh2 crystal from Alexandria via LeMat-Bulk. Energies are from PBE-GGA.

Results
Formation energy from the elements: 0.173 eV/atom
D(E_F): 5.6 states/eV/cell
M_tot: 0.000 μB per formula unit
Raw total energy: -7.4728 eV/atom

POSCAR file:
```
AsOsRh2
1.0
-0.6831 -2.0344 -1.9491
1.6663 -1.9089 1.4084
-5.4305 -1.8847 3.8703
As Rh Os
1 2 1
Direct
0.0000 0.0000 0.4994 As
0.5000 0.5000 0.2759 Rh
0.0000 0.0000 0.9892 Rh
0.5000 0.5000 0.7356 Os
```



# 12
Here is a relaxed Ta4Mo3 crystal from Alexandria via LeMat-Bulk. Energies are from PBE-GGA.

Results
Formation energy from the elements: -0.171 eV/atom
D(E_F): 9.7 states/eV/cell
M_tot: 0.000 μB per formula unit
Raw total energy: -11.5858 eV/atom
Energy above the lowest structure with this stoichiometry: 9 meV per atom

POSCAR file:
```
Ta4Mo3
1.0
7.1121 -0.0041 -0.0026
5.6455 4.3255 -0.0026
5.6455 1.9123 3.8799
Mo Ta
3 4
Direct
0.0022 0.0022 0.0022 Mo
0.1406 0.1406 0.1406 Mo
0.5714 0.5714 0.5714 Mo
0.2840 0.2840 0.2840 Ta
0.4330 0.4330 0.4330 Ta
0.7099 0.7099 0.7099 Ta
0.8588 0.8588 0.8588 Ta
```



# 13
Here is a relaxed CsLaBe3 crystal from Alexandria via LeMat-Bulk. Energies are from PBE-GGA.

Results
Formation energy from the elements: 1.837 eV/atom
D(E_F): 4.1 states/eV/cell
M_tot: 0.000 μB per formula unit
Raw total energy: -1.5552 eV/atom
Energy above the lowest structure with this stoichiometry: 346 meV per atom

POSCAR file:
```
CsLaBe3
1.0
-4.8985 -1.4260 -0.9717
1.2287 -0.8291 -4.9776
1.2116 -4.9247 1.1194
La Be Cs
1 3 1
Direct
0.5000 0.5000 0.5000 La
0.5000 0.0000 0.0000 Be
0.0000 0.5000 0.0000 Be
0.0000 0.0000 0.5000 Be
0.0000 0.0000 0.0000 Cs
```



# 14
Here is a relaxed SiNi5Pt crystal from Alexandria via LeMat-Bulk. Energies are from PBE-GGA.

Results
D(E_F): 9.9 states/eV/cell
M_tot: 0.000 μB per formula unit
Raw total energy: -5.8902 eV/atom
Raw formation energy: -0.12 eV per atom

POSCAR file:
```
SiNi5Pt
1.0
4.2398 0.0442 -0.0001
-1.3378 4.0234 -0.0001
0.0000 0.0000 5.1652
Pt Ni Si
1 5 1
Direct
0.0000 0.0000 0.0000 Pt
0.5000 0.0000 0.7421 Ni
0.0000 0.0000 0.5000 Ni
0.5000 0.0000 0.2579 Ni
0.0000 0.5000 0.7421 Ni
0.0000 0.5000 0.2579 Ni
0.5000 0.5000 0.5000 Si
```



# 15
Here is a relaxed TbPuMg2N4 crystal from Alexandria via LeMat-Bulk. Energies are from PBE-GGA.

Results
D(E_F): 4.5 states/eV/cell
M_tot: 3.000 μB per formula unit
Raw total energy: -7.9944 eV/atom
Raw formation energy: -1.06 eV per atom

POSCAR file:
```
TbPuMg2N4
1.0
-3.3827 0.2057 -0.2188
-0.0825 -4.6277 -3.0741
-0.5085 -4.6850 3.4574
N Pu Tb Mg
4 1 1 2
Direct
0.0000 0.7497 0.7584 N
0.5000 0.7355 0.2272 N
0.5000 0.2645 0.7728 N
0.0000 0.2503 0.2416 N
0.5000 0.5000 0.0000 Pu
0.0000 0.5000 0.5000 Tb
0.0000 0.0000 0.0000 Mg
0.5000 0.0000 0.5000 Mg
```



# 16
Here is a relaxed Np3CrN6 crystal from Alexandria via LeMat-Bulk. Energies are from PBE-GGA.

Results
D(E_F): 34.0 states/eV/cell
M_tot: 9.000 μB per formula unit
Raw total energy: -10.8360 eV/atom
Raw formation energy: -1.00 eV per atom

POSCAR file:
```
Np3CrN6
1.0
-2.6044 -0.5537 -4.6186
6.2214 -0.5739 -3.4395
-1.5413 -6.7579 1.6794
N Np Cr
12 6 2
Direct
0.1843 0.4174 0.8877 N
0.6697 0.2120 0.7880 N
0.1843 0.1123 0.5826 N
0.6527 0.9488 0.0512 N
0.2059 0.3549 0.3286 N
0.6843 0.8877 0.4174 N
0.2059 0.6714 0.6451 N
0.1697 0.7880 0.2120 N
0.6843 0.5826 0.1123 N
0.7059 0.6451 0.6714 N
0.1527 0.0512 0.9488 N
0.7059 0.3286 0.3549 N
0.9362 0.6056 0.3944 Np
0.4664 0.3026 0.0863 Np
0.4362 0.3944 0.6056 Np
0.9664 0.6974 0.9137 Np
0.9664 0.0863 0.3026 Np
0.4664 0.9137 0.6974 Np
0.0136 0.1966 0.8034 Cr
0.5136 0.8034 0.1966 Cr
```



# 17
Here is a relaxed BaZnCu3 crystal from Alexandria via LeMat-Bulk. Energies are from PBE-GGA.

Results
Formation energy from the elements: 1.380 eV/atom
D(E_F): 7.5 states/eV/cell
M_tot: 0.000 μB per formula unit
Raw total energy: -1.7170 eV/atom
Energy above the lowest structure with this stoichiometry: 1444 meV per atom

POSCAR file:
```
BaZnCu3
1.0
5.8311 0.0000 0.0000
0.0000 5.8311 0.0000
0.0000 0.0000 5.8311
Cu Zn Ba
3 1 1
Direct
0.5000 0.0000 0.0000 Cu
0.0000 0.0000 0.5000 Cu
0.0000 0.5000 0.0000 Cu
0.5000 0.5000 0.5000 Zn
0.0000 0.0000 0.0000 Ba
```



# 18
Here is a relaxed Ag2BiP2 crystal from Alexandria via LeMat-Bulk. Energies are from PBE-GGA.

Results
Formation energy from the elements: 0.278 eV/atom
D(E_F): 3.1 states/eV/cell
M_tot: 0.000 μB per formula unit
Raw total energy: -3.8028 eV/atom
Energy above the lowest structure with this stoichiometry: 0 meV per atom

POSCAR file:
```
Ag2BiP2
1.0
4.5519 0.0000 0.0000
0.0000 4.5519 0.0000
2.2759 2.2759 4.9311
P Ag Bi
2 2 1
Direct
0.3900 0.3900 0.2199 P
0.6100 0.6100 0.7801 P
0.2500 0.7500 0.5000 Ag
0.7500 0.2500 0.5000 Ag
0.0000 0.0000 0.0000 Bi
```



# 19
Here is a relaxed Sm5Sn2Rh crystal from Alexandria via LeMat-Bulk. Energies are from PBE-GGA.

Results
Formation energy from the elements: -0.675 eV/atom
D(E_F): 18.0 states/eV/cell
M_tot: 0.003 μB per formula unit
Raw total energy: -5.5441 eV/atom

POSCAR file:
```
Sm5Sn2Rh
1.0
4.6605 0.0000 0.0000
0.0000 8.0807 0.0000
0.0000 0.0000 12.3676
Sm Sn Rh
10 4 2
Direct
0.5000 0.3115 0.5679 Sm
0.0000 0.6377 0.7034 Sm
0.0000 0.8623 0.2034 Sm
0.0000 0.0000 0.5000 Sm
0.5000 0.8115 0.9321 Sm
0.0000 0.3623 0.2966 Sm
0.0000 0.1377 0.7966 Sm
0.5000 0.6885 0.4321 Sm
0.0000 0.5000 0.0000 Sm
0.5000 0.1885 0.0679 Sm
0.5000 0.9225 0.6715 Sn
0.5000 0.4225 0.8285 Sn
0.5000 0.5775 0.1715 Sn
0.5000 0.0775 0.3285 Sn
0.0000 0.0000 0.0000 Rh
0.0000 0.5000 0.5000 Rh
```



# 20
Here is a relaxed LiThMg2Pd4 crystal from Alexandria via LeMat-Bulk. Energies are from PBE-GGA.

Results
Formation energy from the elements: -0.675 eV/atom
D(E_F): 3.2 states/eV/cell
M_tot: 0.000 μB per formula unit
Raw total energy: -4.8367 eV/atom

POSCAR file:
```
LiThMg2Pd4
1.0
-3.7760 -2.2272 -1.0371
-0.2615 -2.3182 -3.8538
1.5570 -8.2245 2.2088
Pd Li Mg Th
4 1 2 1
Direct
0.3955 0.3955 0.8134 Pd
0.1245 0.1245 0.6264 Pd
0.6045 0.6045 0.1866 Pd
0.8755 0.8755 0.3736 Pd
0.5000 0.5000 0.5000 Li
0.2342 0.2342 0.2973 Mg
0.7658 0.7658 0.7027 Mg
0.0000 0.0000 0.0000 Th
```